(1)
DFT (PBE) results for a relaxed structure of Be3CrRh.

Cell: 4.027 4.027 4.027 Å, 90.00 90.00 90.00°
Positions (direct):
Cr: 0.500 0.500 0.500
Be: 0.500 0.000 0.000
Be: 0.000 0.500 0.000
Be: 0.000 0.000 0.500
Rh: 0.000 0.000 0.000

- Energy relative to the elements: 358 kJ/mol of formula units
- Density of states at the Fermi level: 8.4 states/eV/cell
- ΔE to the lowest computed polymorph: 0 meV/atom
- Total DFT energy (no corrections): -24.45 eV/f.u.
- Calculated density: 4.63 g/cm³
- Total magnetic moment: 0.000 μB per atom

(2)
DFT (PBE) results for a relaxed structure of La12Pm6Mg.

Cell: 8.962 8.962 8.962 Å, 98.82 98.82 98.82°
Positions (direct):
La: 0.418 0.418 0.832
Pm: 0.407 0.139 0.139
La: 0.739 0.262 0.000
La: 0.832 0.418 0.418
Mg: 0.000 0.000 0.000
La: 0.582 0.582 0.168
La: 0.418 0.832 0.418
La: 0.262 0.000 0.739
Pm: 0.861 0.861 0.593
La: 0.000 0.261 0.738
La: 0.582 0.168 0.582
La: 0.261 0.738 0.000
Pm: 0.139 0.407 0.139
Pm: 0.139 0.139 0.407
La: 0.168 0.582 0.582
La: 0.738 0.000 0.261
Pm: 0.593 0.861 0.861
La: 0.000 0.739 0.262
Pm: 0.861 0.593 0.861

- Energy relative to the elements: 207 kJ/mol of formula units
- Density of states at the Fermi level: 30.1 states/eV/cell
- Total DFT energy (no corrections): -87.09 eV/f.u.
- Calculated density: 6.15 g/cm³
- Total magnetic moment: 0.000 μB per atom

Among the records above, which one has the highest total DFT energy (no corrections)? Be3CrRh

Look up the density of states at the Fermi level of the first one. 8.4 states/eV/cell

Which formula does entry 2 have? La12Pm6Mg

Copy entry 1 word for word.
DFT (PBE) results for a relaxed structure of Be3CrRh.

Cell: 4.027 4.027 4.027 Å, 90.00 90.00 90.00°
Positions (direct):
Cr: 0.500 0.500 0.500
Be: 0.500 0.000 0.000
Be: 0.000 0.500 0.000
Be: 0.000 0.000 0.500
Rh: 0.000 0.000 0.000

- Energy relative to the elements: 358 kJ/mol of formula units
- Density of states at the Fermi level: 8.4 states/eV/cell
- ΔE to the lowest computed polymorph: 0 meV/atom
- Total DFT energy (no corrections): -24.45 eV/f.u.
- Calculated density: 4.63 g/cm³
- Total magnetic moment: 0.000 μB per atom